{
  "formula": "ErBeOs",
  "functional": "PBE-GGA",
  "state": "relaxed",
  "cell": [[-0.889, 3.585, -0.234], [-1.751, -0.664, -3.526], [-2.119, -0.306, 3.370]],
  "species": ["Os", "Er", "Be"],
  "frac_coords": [[0.167, 0.000, 0.000], [0.666, 0.333, 0.667], [0.167, 0.667, 0.333]],
  "ef_ev_per_atom": -0.185,
  "relative_energy_mev_per_atom": 95,
  "e_tot_ev_per_atom": -6.69,
  "volume_a3_per_cell": 51
}